MgZrW | PBE | optimized geometry

abc: 4.9587 4.9587 2.6879
angles: 90.00 90.00 120.00
With the nearest neighbours (Å) after each atom.
Space group P3m1 (No. 156)
Inequivalent atoms, fractional coordinates:
Mg (0.0000, 0.0000, 0.0000) x1  2 Mg 2.69, 3 W 2.96, 3 Zr 3.01
Zr (0.3333, 0.6667, 0.6580) x1  2 Zr 2.69, 3 Mg 3.01
W (0.6667, 0.3333, 0.2744) x1  2 W 2.69, 3 Mg 2.96

Summary:
**ΔE_f**: 308.7 meV/atom
**Total magnetic moment**: 0.000 μB/f.u.
**Crystal system**: trigonal
**DFT total energy**: -22.2 eV/cell
**ΔE to the lowest computed polymorph**: 0.041 eV per atom
**ρ**: 8.7 g/cm3